Record 1
This record from the Alexandria database describes a relaxed Zn4PN4 crystal. The functional is PBE.

```
data_Zn4PN4
_space_group_name_H-M_alt 'C m c m'
_space_group_IT_number 63
_space_group_name_Hall '-C 2c 2'
_cell_length_a 7.921
_cell_length_b 7.616
_cell_length_c 6.922
_cell_angle_alpha 90.00
_cell_angle_beta 90.00
_cell_angle_gamma 90.00
loop_
_atom_site_label
_atom_site_type_symbol
_atom_site_fract_x
_atom_site_fract_y
_atom_site_fract_z
_atom_site_occupancy
Zn1 Zn 0.149 0.214 0.250 1
Zn2 Zn 0.181 0.500 0.000 1
P1 P 0.000 0.187 0.750 1
N1 N 0.000 0.309 0.551 1
N2 N 0.182 0.066 0.750 1
```

**Formation energy without anion corrections**: 0.042 eV per atom
**Total magnetization**: 0.00 μB/cell



Record 2
This record from the Alexandria database describes a relaxed Rb2CeSbO6 crystal. The functional is PBE.

```
data_Rb2CeSbO6
_space_group_name_H-M_alt 'F m -3 m'
_space_group_IT_number 225
_space_group_name_Hall '-F 4 2 3'
_cell_length_a 8.586
_cell_length_b 8.586
_cell_length_c 8.586
_cell_angle_alpha 90.00
_cell_angle_beta 90.00
_cell_angle_gamma 90.00
loop_
_atom_site_label
_atom_site_type_symbol
_atom_site_fract_x
_atom_site_fract_y
_atom_site_fract_z
_atom_site_occupancy
Rb1 Rb 0.250 0.250 0.250 1
Ce1 Ce 0.000 0.000 0.000 1
Sb1 Sb 0.000 0.000 0.500 1
O1 O 0.000 0.000 0.264 1
```

**Formation energy without anion corrections**: -1.991 eV per atom
**Total magnetization**: 4.06 μB/cell



Record 3
This record from the Alexandria database describes a relaxed Ta2ZnFeRu crystal. The functional is PBE.

```
data_Ta2ZnFeRu
_space_group_name_H-M_alt 'P 4/m m m'
_space_group_IT_number 123
_space_group_name_Hall '-P 4 2'
_cell_length_a 4.618
_cell_length_b 4.618
_cell_length_c 4.377
_cell_angle_alpha 90.00
_cell_angle_beta 90.00
_cell_angle_gamma 90.00
loop_
_atom_site_label
_atom_site_type_symbol
_atom_site_fract_x
_atom_site_fract_y
_atom_site_fract_z
_atom_site_occupancy
Ta1 Ta 0.000 0.500 0.000 1
Zn1 Zn 0.000 0.000 0.000 1
Fe1 Fe 0.500 0.500 0.500 1
Ru1 Ru 0.000 0.000 0.500 1
```

**DFT formation energy**: 1.7203 eV per atom
**Total magnetization**: 0.10 μB/cell



Record 4
This record from the Alexandria database describes a relaxed Sr2ScSi crystal. The functional is PBE.

```
data_Sr2ScSi
_space_group_name_H-M_alt 'I -4 m 2'
_space_group_IT_number 119
_space_group_name_Hall 'I -4 -2'
_cell_length_a 4.849
_cell_length_b 4.849
_cell_length_c 9.939
_cell_angle_alpha 90.00
_cell_angle_beta 90.00
_cell_angle_gamma 90.00
loop_
_atom_site_label
_atom_site_type_symbol
_atom_site_fract_x
_atom_site_fract_y
_atom_site_fract_z
_atom_site_occupancy
Sr1 Sr 0.000 0.000 0.000 1
Sr2 Sr 0.000 0.500 0.250 1
Sc1 Sc 0.000 0.500 0.750 1
Si1 Si 0.000 0.000 0.500 1
```

**Formation energy without anion corrections**: 0.179 eV per atom
**Total magnetization**: 0.02 μB/cell



Energy, respectively: -173.7, -246.6, -34.1, -28.8 eV for the cell shown.